# 1
Cr2AgIr2: relaxed, PBE.

## Properties
The mass density comes out at 13554 kg/m³. The value obtained for the energy above the most stable polymorph in this dataset is 0.000 eV per atom. The formation energy from the elements is 8 kJ/mol of atoms. The value obtained for the total energy is -7.885 eV/atom.

CIF file:
```
data_Cr2AgIr2
_cell_length_a 7.380
_cell_length_b 7.380
_cell_length_c 2.683
_cell_angle_alpha 90.00
_cell_angle_beta 90.00
_cell_angle_gamma 90.00
_symmetry_space_group_name_H-M 'P 4/m b m'
_symmetry_Int_Tables_number 127
_symmetry_space_group_name_Hall '-P 4 2ab'
loop_
_atom_site_label
_atom_site_type_symbol
_atom_site_fract_x
_atom_site_fract_y
_atom_site_fract_z
Cr1 Cr 0.164 0.336 0.000
Ag1 Ag 0.000 0.000 0.500
Ir1 Ir 0.129 0.629 0.500
```

# 2
CrAgIr2: relaxed, PBE.

## Properties
The mass density comes out at 15147 kg/m³. The value obtained for the energy above the most stable polymorph in this dataset is 0.305 eV per atom. The formation energy from the elements is 33 kJ/mol of atoms. The value obtained for the total energy is -7.204 eV/atom.

CIF file:
```
data_CrAgIr2
_cell_length_a 5.532
_cell_length_b 7.682
_cell_length_c 2.808
_cell_angle_alpha 90.00
_cell_angle_beta 90.00
_cell_angle_gamma 90.00
_symmetry_space_group_name_H-M 'C m m m'
_symmetry_Int_Tables_number 65
_symmetry_space_group_name_Hall '-C 2 2'
loop_
_atom_site_label
_atom_site_type_symbol
_atom_site_fract_x
_atom_site_fract_y
_atom_site_fract_z
Cr1 Cr 0.000 0.000 0.000
Ag1 Ag 0.000 0.500 0.000
Ir1 Ir 0.250 0.250 0.500
```

# 3
Cr2AgIr: relaxed, PBE.

## Properties
The mass density comes out at 11490 kg/m³. The formation energy from the elements is 36 kJ/mol of atoms. The value obtained for the total energy is -7.362 eV/atom.

CIF file:
```
data_Cr2AgIr
_cell_length_a 8.958
_cell_length_b 2.791
_cell_length_c 4.753
_cell_angle_alpha 90.00
_cell_angle_beta 100.63
_cell_angle_gamma 90.00
_symmetry_space_group_name_H-M 'C 1 2/m 1'
_symmetry_Int_Tables_number 12
loop_
_symmetry_equiv_pos_as_xyz
'x,y,z'
'-x,-y,-z'
'-x,y,-z'
'x,-y,z'
'x+1/2,y+1/2,z'
'-x+1/2,-y+1/2,-z'
'-x+1/2,y+1/2,-z'
'x+1/2,-y+1/2,z'
loop_
_atom_site_label
_atom_site_type_symbol
_atom_site_fract_x
_atom_site_fract_y
_atom_site_fract_z
Cr1 Cr 0.244 0.000 0.182
Ag1 Ag 0.000 0.000 0.500
Ir1 Ir 0.000 0.500 0.000
```